Here is crystalline Tm3Ga3Co2 at its relaxed geometry from Alexandria via LeMat-Bulk. Energies are from PBE. Values from VASP.

Values from the calculation:
- Magnetic moment: 0.000 μB/cell
- Energy: -0.1877 Ha/atom
- ΔE to the lowest computed polymorph: 0.012 eV/atom

```
&SYSTEM
  ibrav = 0, nat = 32, ntyp = 3
/
ATOMIC_SPECIES
Tm 168.93 Tm.upf
Ga 69.72 Ga.upf
Co 58.93 Co.upf
ATOMIC_POSITIONS crystal
Tm 0.118 0.465 0.392
Tm 0.618 0.035 0.608
Tm 0.882 0.535 0.892
Tm 0.382 0.965 0.108
Tm 0.882 0.535 0.608
Tm 0.382 0.965 0.392
Tm 0.118 0.465 0.108
Tm 0.618 0.035 0.892
Tm 0.638 0.334 0.250
Tm 0.138 0.166 0.750
Tm 0.362 0.666 0.750
Tm 0.862 0.834 0.250
Ga 0.124 0.176 0.250
Ga 0.624 0.324 0.750
Ga 0.876 0.824 0.750
Ga 0.376 0.676 0.250
Ga 0.603 0.330 0.462
Ga 0.103 0.170 0.538
Ga 0.397 0.670 0.962
Ga 0.897 0.830 0.038
Ga 0.397 0.670 0.538
Ga 0.897 0.830 0.462
Ga 0.603 0.330 0.038
Ga 0.103 0.170 0.962
Co 0.881 0.127 0.392
Co 0.381 0.373 0.608
Co 0.119 0.873 0.892
Co 0.619 0.627 0.108
Co 0.119 0.873 0.608
Co 0.619 0.627 0.392
Co 0.881 0.127 0.108
Co 0.381 0.373 0.892
CELL_PARAMETERS angstrom
5.616 0.000 0.000
0.000 7.326 0.000
0.000 0.000 14.669
```

Here is crystalline Tm3GaCo2 at its relaxed geometry from Alexandria via LeMat-Bulk. Energies are from PBE. Values from VASP.

Values from the calculation:
- Magnetic moment: 0.862 μB/cell
- Energy: -0.2007 Ha/atom

```
&SYSTEM
  ibrav = 0, nat = 6, ntyp = 3
/
ATOMIC_SPECIES
Tm 168.93 Tm.upf
Ga 69.72 Ga.upf
Co 58.93 Co.upf
ATOMIC_POSITIONS crystal
Tm 0.000 0.000 0.000
Tm 0.000 0.000 0.685
Tm 0.000 0.000 0.315
Ga 0.500 0.500 0.500
Co 0.500 0.500 0.839
Co 0.500 0.500 0.161
CELL_PARAMETERS angstrom
-0.461 -3.296 -0.256
2.204 -0.500 2.456
-7.640 0.528 6.965
```

Here is crystalline TmGa2Co at its relaxed geometry from Alexandria via LeMat-Bulk. Energies are from PBE. Values from VASP.

Values from the calculation:
- Magnetic moment: 0.000 μB/cell
- Energy: -0.1817 Ha/atom

```
&SYSTEM
  ibrav = 0, nat = 32, ntyp = 3
/
ATOMIC_SPECIES
Tm 168.93 Tm.upf
Ga 69.72 Ga.upf
Co 58.93 Co.upf
ATOMIC_POSITIONS crystal
Tm 0.465 0.250 0.138
Tm 0.965 0.750 0.362
Tm 0.535 0.750 0.862
Tm 0.035 0.250 0.638
Tm 0.738 0.250 0.398
Tm 0.238 0.750 0.102
Tm 0.262 0.750 0.602
Tm 0.762 0.250 0.898
Ga 0.948 0.048 0.212
Ga 0.448 0.952 0.288
Ga 0.052 0.548 0.788
Ga 0.552 0.452 0.712
Ga 0.052 0.952 0.788
Ga 0.552 0.048 0.712
Ga 0.948 0.452 0.212
Ga 0.448 0.548 0.288
Ga 0.751 0.557 0.041
Ga 0.251 0.443 0.459
Ga 0.249 0.057 0.959
Ga 0.749 0.943 0.541
Ga 0.249 0.443 0.959
Ga 0.749 0.557 0.541
Ga 0.751 0.943 0.041
Ga 0.251 0.057 0.459
Co 0.208 0.250 0.311
Co 0.708 0.750 0.189
Co 0.792 0.750 0.689
Co 0.292 0.250 0.811
Co 0.992 0.250 0.072
Co 0.492 0.750 0.428
Co 0.008 0.750 0.928
Co 0.508 0.250 0.572
CELL_PARAMETERS angstrom
-2.202 3.316 -3.701
2.709 -3.807 -5.022
-11.942 -8.189 -0.234
```

Here is crystalline Tm3Ga2Co2 at its relaxed geometry from Alexandria via LeMat-Bulk. Energies are from PBE. Values from VASP.

Values from the calculation:
- Magnetic moment: 0.000 μB/cell
- Energy: -0.1951 Ha/atom

```
&SYSTEM
  ibrav = 0, nat = 28, ntyp = 3
/
ATOMIC_SPECIES
Tm 168.93 Tm.upf
Ga 69.72 Ga.upf
Co 58.93 Co.upf
ATOMIC_POSITIONS crystal
Tm 0.155 0.599 0.097
Tm 0.845 0.401 0.597
Tm 0.845 0.099 0.403
Tm 0.155 0.901 0.903
Tm 0.845 0.401 0.903
Tm 0.155 0.599 0.403
Tm 0.155 0.901 0.597
Tm 0.845 0.099 0.097
Tm 0.370 0.240 0.250
Tm 0.630 0.760 0.750
Tm 0.630 0.740 0.250
Tm 0.370 0.260 0.750
Ga 0.360 0.250 0.000
Ga 0.640 0.750 0.500
Ga 0.640 0.750 0.000
Ga 0.360 0.250 0.500
Ga 0.863 0.395 0.250
Ga 0.137 0.605 0.750
Ga 0.137 0.895 0.250
Ga 0.863 0.105 0.750
Co 0.639 0.464 0.091
Co 0.361 0.536 0.591
Co 0.361 0.964 0.409
Co 0.639 0.036 0.909
Co 0.361 0.536 0.909
Co 0.639 0.464 0.409
Co 0.639 0.036 0.591
Co 0.361 0.964 0.091
CELL_PARAMETERS angstrom
-5.180 -1.330 -0.840
-0.336 -3.078 6.944
-3.730 11.441 4.891
```

Here is crystalline Tm3GaCo3 at its relaxed geometry from Alexandria via LeMat-Bulk. Energies are from PBE. Values from VASP.

Values from the calculation:
- Magnetic moment: 0.000 μB/cell
- Energy: -0.2130 Ha/atom

```
&SYSTEM
  ibrav = 0, nat = 14, ntyp = 3
/
ATOMIC_SPECIES
Tm 168.93 Tm.upf
Ga 69.72 Ga.upf
Co 58.93 Co.upf
ATOMIC_POSITIONS crystal
Tm 0.206 0.411 0.895
Tm 0.794 0.589 0.105
Tm 0.206 0.411 0.605
Tm 0.794 0.589 0.395
Tm 0.492 0.985 0.750
Tm 0.508 0.015 0.250
Ga 0.500 0.000 0.000
Ga 0.500 0.000 0.500
Co 0.915 0.830 0.905
Co 0.085 0.170 0.095
Co 0.915 0.830 0.595
Co 0.085 0.170 0.405
Co 0.790 0.580 0.750
Co 0.210 0.420 0.250
CELL_PARAMETERS angstrom
-3.751 0.638 -1.278
0.723 -5.017 1.676
-3.427 3.440 11.773
```

Here is crystalline Tm2Ga3Co4 at its relaxed geometry from Alexandria via LeMat-Bulk. Energies are from PBE. Values from VASP.

Values from the calculation:
- Magnetic moment: 0.001 μB/cell
- Energy: -0.2042 Ha/atom

```
&SYSTEM
  ibrav = 0, nat = 18, ntyp = 3
/
ATOMIC_SPECIES
Tm 168.93 Tm.upf
Ga 69.72 Ga.upf
Co 58.93 Co.upf
ATOMIC_POSITIONS crystal
Tm 0.104 0.586 0.207
Tm 0.896 0.414 0.793
Tm 0.396 0.086 0.793
Tm 0.604 0.914 0.207
Ga 0.000 0.000 0.000
Ga 0.500 0.500 0.000
Ga 0.515 0.750 0.530
Ga 0.985 0.250 0.470
Ga 0.485 0.250 0.470
Ga 0.015 0.750 0.530
Co 0.679 0.750 0.857
Co 0.821 0.250 0.143
Co 0.321 0.250 0.143
Co 0.179 0.750 0.857
Co 0.171 0.990 0.341
Co 0.829 0.010 0.659
Co 0.329 0.490 0.659
Co 0.671 0.510 0.341
CELL_PARAMETERS angstrom
5.337 0.000 0.000
0.000 6.903 0.000
-2.668 0.000 7.393
```

Here is crystalline Tm2GaCo at its relaxed geometry from Alexandria via LeMat-Bulk. Energies are from PBE. Values from VASP.

Values from the calculation:
- Magnetic moment: 0.000 μB/cell
- Energy: -0.1910 Ha/atom

```
&SYSTEM
  ibrav = 0, nat = 8, ntyp = 3
/
ATOMIC_SPECIES
Tm 168.93 Tm.upf
Ga 69.72 Ga.upf
Co 58.93 Co.upf
ATOMIC_POSITIONS crystal
Tm 0.750 0.211 0.402
Tm 0.250 0.789 0.598
Tm 0.250 0.790 0.052
Tm 0.750 0.210 0.948
Ga 0.750 0.640 0.286
Ga 0.250 0.360 0.714
Co 0.250 0.329 0.209
Co 0.750 0.671 0.791
CELL_PARAMETERS angstrom
3.645 0.000 0.000
0.000 5.898 -0.050
0.000 -2.999 7.815
```

Here is crystalline Tm2GaCo at its relaxed geometry from Alexandria via LeMat-Bulk. Energies are from PBE. Values from VASP.

Values from the calculation:
- Magnetic moment: 0.550 μB/cell
- Energy: -0.1908 Ha/atom

```
&SYSTEM
  ibrav = 0, nat = 4, ntyp = 3
/
ATOMIC_SPECIES
Tm 168.93 Tm.upf
Co 58.93 Co.upf
Ga 69.72 Ga.upf
ATOMIC_POSITIONS crystal
Tm 0.000 0.000 0.770
Tm 0.000 0.000 0.230
Co 0.500 0.500 0.000
Ga 0.500 0.500 0.500
CELL_PARAMETERS angstrom
-2.302 0.823 2.338
-2.463 -1.117 -2.032
0.574 -6.372 2.807
```

Here is crystalline TmGa3Co3 at its relaxed geometry from Alexandria via LeMat-Bulk. Energies are from PBE. Values from VASP.

Values from the calculation:
- Magnetic moment: 9.435 μB/cell
- Energy: -0.1540 Ha/atom
- ΔE to the lowest computed polymorph: 0.541 eV/atom

```
&SYSTEM
  ibrav = 0, nat = 14, ntyp = 3
/
ATOMIC_SPECIES
Tm 168.93 Tm.upf
Ga 69.72 Ga.upf
Co 58.93 Co.upf
ATOMIC_POSITIONS crystal
Tm 0.250 0.250 0.250
Tm 0.750 0.750 0.750
Ga 0.338 0.662 0.338
Ga 0.338 0.662 0.662
Ga 0.338 0.338 0.662
Ga 0.662 0.338 0.662
Ga 0.662 0.338 0.338
Ga 0.662 0.662 0.338
Co 0.142 0.858 0.858
Co 0.142 0.858 0.142
Co 0.142 0.142 0.858
Co 0.858 0.142 0.858
Co 0.858 0.142 0.142
Co 0.858 0.858 0.142
CELL_PARAMETERS angstrom
-0.688 -7.918 -0.633
5.912 -4.728 2.503
-0.956 -4.455 6.544
```

Here is crystalline Tm4GaCo2 at its relaxed geometry from Alexandria via LeMat-Bulk. Energies are from PBE. Values from VASP.

Values from the calculation:
- Magnetic moment: 0.000 μB/cell
- Energy: -0.1941 Ha/atom

```
&SYSTEM
  ibrav = 0, nat = 14, ntyp = 3
/
ATOMIC_SPECIES
Tm 168.93 Tm.upf
Ga 69.72 Ga.upf
Co 58.93 Co.upf
ATOMIC_POSITIONS crystal
Tm 0.005 0.228 0.401
Tm 0.420 0.511 0.289
Tm 0.889 0.656 0.681
Tm 0.714 0.115 0.672
Tm 0.379 0.972 0.211
Tm 0.291 0.192 0.826
Tm 0.458 0.725 0.820
Tm 0.854 0.575 0.099
Ga 0.201 0.820 0.484
Ga 0.967 0.088 0.016
Co 0.461 0.334 0.572
Co 0.822 0.846 0.419
Co 0.651 0.176 0.081
Co 0.138 0.511 0.928
CELL_PARAMETERS angstrom
6.675 -0.600 -0.139
-1.092 6.523 0.141
-2.659 -3.092 7.039
```

Here is crystalline Tm2Ga4Co5 at its relaxed geometry from Alexandria via LeMat-Bulk. Energies are from PBE. Values from VASP.

Values from the calculation:
- Magnetic moment: 0.777 μB/cell
- Energy: -0.2013 Ha/atom

```
&SYSTEM
  ibrav = 0, nat = 11, ntyp = 3
/
ATOMIC_SPECIES
Tm 168.93 Tm.upf
Ga 69.72 Ga.upf
Co 58.93 Co.upf
ATOMIC_POSITIONS crystal
Tm 0.876 0.000 0.249
Tm 0.124 0.000 0.751
Ga 0.473 0.315 0.739
Ga 0.527 0.685 0.261
Ga 0.212 0.315 0.261
Ga 0.788 0.685 0.739
Co 0.500 0.000 0.000
Co 0.000 0.500 0.000
Co 0.500 0.500 0.000
Co 0.250 0.500 0.500
Co 0.750 0.500 0.500
CELL_PARAMETERS angstrom
-3.846 3.714 -0.136
-2.921 0.670 -4.267
-6.641 -2.937 2.408
```

Here is crystalline TmGa2Co at its relaxed geometry from Alexandria via LeMat-Bulk. Energies are from PBE. Values from VASP.

Values from the calculation:
- Magnetic moment: 1.037 μB/cell
- Energy: -0.1742 Ha/atom

```
&SYSTEM
  ibrav = 0, nat = 4, ntyp = 3
/
ATOMIC_SPECIES
Tm 168.93 Tm.upf
Co 58.93 Co.upf
Ga 69.72 Ga.upf
ATOMIC_POSITIONS crystal
Tm 0.500 0.500 0.500
Co 0.500 0.500 0.000
Ga 0.000 0.000 0.806
Ga 0.000 0.000 0.194
CELL_PARAMETERS angstrom
-0.034 -3.113 -0.032
2.664 -0.012 -1.611
3.541 -0.098 5.853
```

Here is crystalline Tm8Ga2Co at its relaxed geometry from Alexandria via LeMat-Bulk. Energies are from PBE. Values from VASP.

Values from the calculation:
- Magnetic moment: 0.000 μB/cell
- Energy: -0.1727 Ha/atom

```
&SYSTEM
  ibrav = 0, nat = 11, ntyp = 3
/
ATOMIC_SPECIES
Tm 168.93 Tm.upf
Ga 69.72 Ga.upf
Co 58.93 Co.upf
ATOMIC_POSITIONS crystal
Tm 0.411 0.550 0.822
Tm 0.648 0.977 0.296
Tm 0.790 0.685 0.581
Tm 0.977 0.218 0.954
Tm 0.210 0.315 0.419
Tm 0.352 0.023 0.704
Tm 0.589 0.450 0.178
Tm 0.023 0.782 0.046
Ga 0.811 0.244 0.622
Ga 0.189 0.756 0.378
Co 0.500 0.000 0.000
CELL_PARAMETERS angstrom
-0.321 -2.464 4.190
5.557 2.620 1.966
-5.841 7.130 0.913
```

Here is crystalline Tm2Ga3Co at its relaxed geometry from Alexandria via LeMat-Bulk. Energies are from PBE. Values from VASP.

Values from the calculation:
- Magnetic moment: 0.003 μB/cell
- Energy: -0.1741 Ha/atom

```
&SYSTEM
  ibrav = 0, nat = 6, ntyp = 3
/
ATOMIC_SPECIES
Tm 168.93 Tm.upf
Ga 69.72 Ga.upf
Co 58.93 Co.upf
ATOMIC_POSITIONS crystal
Tm 0.000 0.500 0.030
Tm 0.000 0.000 0.481
Ga 0.500 0.000 0.836
Ga 0.500 0.000 0.176
Ga 0.500 0.500 0.651
Co 0.500 0.500 0.326
CELL_PARAMETERS angstrom
-3.057 -0.231 1.739
0.042 -4.266 -0.493
3.742 -0.712 6.483
```

Here is crystalline Tm3Ga4Co2 at its relaxed geometry from Alexandria via LeMat-Bulk. Energies are from PBE. Values from VASP.

Values from the calculation:
- Magnetic moment: 0.000 μB/cell
- Energy: -0.1821 Ha/atom

```
&SYSTEM
  ibrav = 0, nat = 9, ntyp = 3
/
ATOMIC_SPECIES
Tm 168.93 Tm.upf
Ga 69.72 Ga.upf
Co 58.93 Co.upf
ATOMIC_POSITIONS crystal
Tm 0.627 0.254 0.688
Tm 0.000 0.000 0.000
Tm 0.373 0.746 0.312
Ga 0.719 0.437 0.080
Ga 0.281 0.563 0.920
Ga 0.902 0.805 0.595
Ga 0.098 0.195 0.405
Co 0.684 0.369 0.363
Co 0.316 0.631 0.637
CELL_PARAMETERS angstrom
-3.723 -1.997 -0.062
2.032 0.840 -5.153
3.544 -6.691 2.669
```

Here is crystalline Tm2GaCo2 at its relaxed geometry from Alexandria via LeMat-Bulk. Energies are from PBE. Values from VASP.

Values from the calculation:
- Magnetic moment: 2.869 μB/cell
- Energy: -0.2060 Ha/atom

```
&SYSTEM
  ibrav = 0, nat = 20, ntyp = 3
/
ATOMIC_SPECIES
Tm 168.93 Tm.upf
Ga 69.72 Ga.upf
Co 58.93 Co.upf
ATOMIC_POSITIONS crystal
Tm 0.681 0.819 0.500
Tm 0.319 0.181 0.500
Tm 0.819 0.319 0.000
Tm 0.181 0.681 0.000
Tm 0.819 0.319 0.500
Tm 0.181 0.681 0.500
Tm 0.319 0.181 0.000
Tm 0.681 0.819 0.000
Ga 0.500 0.500 0.250
Ga 0.000 0.000 0.750
Ga 0.500 0.500 0.750
Ga 0.000 0.000 0.250
Co 0.381 0.881 0.250
Co 0.619 0.119 0.250
Co 0.119 0.381 0.750
Co 0.881 0.619 0.750
Co 0.881 0.619 0.250
Co 0.119 0.381 0.250
Co 0.381 0.881 0.750
Co 0.619 0.119 0.750
CELL_PARAMETERS angstrom
6.687 0.000 0.000
0.000 6.687 0.000
0.000 0.000 7.972
```

Here is crystalline Tm6Ga3Co at its relaxed geometry from Alexandria via LeMat-Bulk. Energies are from PBE. Values from VASP.

Values from the calculation:
- Magnetic moment: 0.001 μB/cell
- Energy: -0.1699 Ha/atom

```
&SYSTEM
  ibrav = 0, nat = 20, ntyp = 3
/
ATOMIC_SPECIES
Tm 168.93 Tm.upf
Ga 69.72 Ga.upf
Co 58.93 Co.upf
ATOMIC_POSITIONS crystal
Tm 0.616 0.164 0.934
Tm 0.600 0.192 0.565
Tm 0.625 0.454 0.266
Tm 0.375 0.546 0.734
Tm 0.400 0.808 0.435
Tm 0.384 0.836 0.066
Tm 0.116 0.336 0.434
Tm 0.100 0.308 0.065
Tm 0.125 0.046 0.766
Tm 0.875 0.954 0.234
Tm 0.900 0.692 0.935
Tm 0.884 0.664 0.566
Ga 0.598 0.887 0.740
Ga 0.500 0.500 0.000
Ga 0.402 0.113 0.260
Ga 0.098 0.613 0.240
Ga 0.000 0.000 0.500
Ga 0.902 0.387 0.760
Co 0.500 0.500 0.500
Co 0.000 0.000 0.000
CELL_PARAMETERS angstrom
-2.867 1.523 4.840
-7.170 -1.598 -3.745
0.321 -9.553 3.463
```

Here is crystalline TmGa8Co4 at its relaxed geometry from Alexandria via LeMat-Bulk. Energies are from PBE. Values from VASP.

Values from the calculation:
- Magnetic moment: 0.000 μB/cell
- Energy: -0.1743 Ha/atom

```
&SYSTEM
  ibrav = 0, nat = 13, ntyp = 3
/
ATOMIC_SPECIES
Tm 168.93 Tm.upf
Ga 69.72 Ga.upf
Co 58.93 Co.upf
ATOMIC_POSITIONS crystal
Tm 0.000 0.000 0.000
Ga 0.000 0.339 0.661
Ga 0.000 0.661 0.339
Ga 0.339 0.661 0.661
Ga 0.661 0.339 0.339
Ga 0.500 0.776 0.224
Ga 0.500 0.224 0.776
Ga 0.276 0.224 0.224
Ga 0.724 0.776 0.776
Co 0.000 0.000 0.500
Co 0.500 0.000 0.500
Co 0.000 0.500 0.000
Co 0.500 0.500 0.000
CELL_PARAMETERS angstrom
-2.048 -3.544 3.173
-0.591 -5.899 -2.743
4.467 -3.219 3.515
```